AgSnI6 | PBE | optimized geometry

```
8
Lattice="-0.656 7.923 3.062 -2.952 5.277 -2.434 -6.808 -2.793 3.579" Properties=species:S:1:pos:R:3 pbc="T T T"
Ag -3.404 -1.396 1.789
Sn 0.000 0.000 0.000
I -1.890 1.848 1.864
I -6.718 7.668 4.815
I -5.573 3.282 4.777
I -3.259 6.318 2.079
I -3.697 2.740 -0.609
I -7.156 4.089 2.128
```

## Properties
- Excess energy over the best structure of this formula in the dataset: 0 meV per atom
- Uncorrected formation energy: -1.33 eV per formula unit
- Raw total energy: -2.19 eV/atom